A plane-wave DFT calculation with PBE was carried out for a geometry-optimized Rb2SrPbBr6 structure.

Computed properties:
Density of states at the Fermi level ... 0.0000 states/eV per atom
Formation energy (no corrections) ... -1629 meV per atom
E ... -67.31 eV/cell

abc: 8.0670 8.4971 14.1132
angles: 90.00 124.54 90.00
Space group P2_1/c (No. 14)
One atom of each set of equivalent atoms:
Rb: 0.2231 0.0742 0.2492 x4
Sr: 0.5000 0.0000 0.0000 x2
Pb: 0.0000 0.0000 0.5000 x2
Br: 0.1384 0.1997 0.9439 x4
Br: 0.2484 0.6998 0.9435 x4
Br: 0.3594 0.0342 0.7494 x4

---

A plane-wave DFT calculation with PBE was carried out for a geometry-optimized Rb3SrPb2Br9 structure.

Computed properties:
Density of states at the Fermi level ... 0.0000 states/eV per atom
Formation energy (no corrections) ... -1463 meV per atom
E ... -49.00 eV/cell

abc: 8.4295 8.4295 10.5733
angles: 90.00 90.00 120.00
Space group P-3m1 (No. 164)
One atom of each set of equivalent atoms:
Rb: 0.0000 0.0000 0.0000 x1
Rb: 0.3333 0.6667 0.7367 x2
Sr: 0.0000 0.0000 0.5000 x1
Pb: 0.3333 0.6667 0.1737 x2
Br: 0.0000 0.5000 0.0000 x3
Br: 0.1608 0.3215 0.3205 x6

---

A plane-wave DFT calculation with PBE was carried out for a geometry-optimized Rb2TaPbBr6 structure.

Computed properties:
Density of states at the Fermi level ... 0.0486 states/eV per atom
Formation energy (no corrections) ... -953 meV per atom
E ... -148.25 eV/cell

abc: 11.3981 11.3981 11.3981
angles: 90.00 90.00 90.00
Space group Fm-3m (No. 225)
One atom of each set of equivalent atoms:
Rb: 0.2500 0.2500 0.2500 x8
Ta: 0.0000 0.0000 0.0000 x4
Pb: 0.0000 0.0000 0.5000 x4
Br: 0.0000 0.0000 0.2346 x24